VASP calculation (PBE) on a geometry-optimized Cs2RbHfBr6 structure.

Lattice parameters (Å, degrees): 7.970 7.970 16.805 76.28 76.28 60.00
Sites, in units of the cell vectors:
Cs 0.860 0.860 0.420
Cs 0.140 0.140 0.580
Cs 0.692 0.692 0.923
Cs 0.308 0.308 0.077
Rb 0.585 0.585 0.245
Rb 0.415 0.415 0.755
Hf 0.000 0.000 0.000
Hf 0.500 0.500 0.500
Br 0.853 0.371 0.404
Br 0.371 0.853 0.404
Br 0.371 0.371 0.404
Br 0.147 0.629 0.596
Br 0.629 0.147 0.596
Br 0.629 0.629 0.596
Br 0.717 0.190 0.903
Br 0.190 0.717 0.903
Br 0.190 0.190 0.903
Br 0.283 0.810 0.097
Br 0.810 0.283 0.097
Br 0.810 0.810 0.097

Calculated values
The value obtained for the density of states at the Fermi level is 5.679 states/eV/f.u. Its calculated volume is 44.45 A^3/atom. Its energy relative to the lowest polymorph listed for this composition is 0.0000 eV/atom. As for the calculated total energy: -3.82 eV/atom. The value obtained for the uncorrected formation energy is -1.55 eV/atom.